1.
# In5Hg3Cl12 (PBE, optimized geometry)
data_In5Hg3Cl12
_chemical_formula_sum 'In40 Hg24 Cl96'
_cell_length_a 18.200
_cell_length_b 18.200
_cell_length_c 18.200
_cell_angle_alpha 90.00
_cell_angle_beta 90.00
_cell_angle_gamma 90.00
_symmetry_space_group_name_H-M 'I a -3 d'
_symmetry_Int_Tables_number 230
_symmetry_space_group_name_Hall '-I 4bd 2c 3'
loop_
_atom_site_label
_atom_site_type_symbol
_atom_site_fract_x
_atom_site_fract_y
_atom_site_fract_z
_atom_site_occupancy
In1 In 0.000 0.000 0.000 1
In2 In 0.000 0.250 0.375 1
Hg1 Hg 0.000 0.250 0.125 1
Cl1 Cl 0.047 0.057 0.660 1
# * formation energy (no corrections): -0.79 eV/atom



2.
# In3Hg2Cl4 (PBE, optimized geometry)
data_In3Hg2Cl4
_chemical_formula_sum 'In6 Hg4 Cl8'
_cell_length_a 6.154
_cell_length_b 9.290
_cell_length_c 11.142
_cell_angle_alpha 74.45
_cell_angle_beta 78.35
_cell_angle_gamma 82.69
_symmetry_space_group_name_H-M 'P -1'
_symmetry_Int_Tables_number 2
_symmetry_space_group_name_Hall '-P 1'
loop_
_atom_site_label
_atom_site_type_symbol
_atom_site_fract_x
_atom_site_fract_y
_atom_site_fract_z
_atom_site_occupancy
In1 In 0.100 0.085 0.106 1
In2 In 0.210 0.742 0.510 1
In3 In 0.372 0.498 0.221 1
Hg1 Hg 0.167 0.762 0.090 1
Hg2 Hg 0.435 0.134 0.789 1
Cl1 Cl 0.086 0.966 0.659 1
Cl2 Cl 0.214 0.540 0.771 1
Cl3 Cl 0.256 0.360 0.448 1
Cl4 Cl 0.392 0.273 0.119 1
# * formation energy (no corrections): -0.66 eV/atom



3.
# InHgCl2 (PBE, optimized geometry)
data_InHgCl2
_chemical_formula_sum 'In1 Hg1 Cl2'
_cell_length_a 3.617
_cell_length_b 3.617
_cell_length_c 8.160
_cell_angle_alpha 90.00
_cell_angle_beta 90.00
_cell_angle_gamma 90.00
_symmetry_space_group_name_H-M 'P 4 m m'
_symmetry_Int_Tables_number 99
_symmetry_space_group_name_Hall 'P 4 -2'
loop_
_atom_site_label
_atom_site_type_symbol
_atom_site_fract_x
_atom_site_fract_y
_atom_site_fract_z
_atom_site_occupancy
In1 In 0.000 0.000 0.000 1
Hg1 Hg 0.500 0.500 0.732 1
Cl1 Cl 0.000 0.000 0.558 1
Cl2 Cl 0.500 0.500 0.185 1
# * formation energy (no corrections): -0.42 eV/atom
# * energy above the most stable polymorph in this dataset: 0.227 eV per atom



4.
# InHgCl (PBE, optimized geometry)
data_InHgCl
_chemical_formula_sum 'In2 Hg2 Cl2'
_cell_length_a 3.791
_cell_length_b 3.791
_cell_length_c 13.169
_cell_angle_alpha 90.00
_cell_angle_beta 90.00
_cell_angle_gamma 90.00
_symmetry_space_group_name_H-M 'I 4 m m'
_symmetry_Int_Tables_number 107
_symmetry_space_group_name_Hall 'I 4 -2'
loop_
_atom_site_label
_atom_site_type_symbol
_atom_site_fract_x
_atom_site_fract_y
_atom_site_fract_z
_atom_site_occupancy
In1 In 0.000 0.000 0.000 1
Hg1 Hg 0.000 0.000 0.685 1
Cl1 Cl 0.000 0.000 0.393 1
# * formation energy (no corrections): -0.49 eV/atom
# * energy above the most stable polymorph in this dataset: 0.050 eV per atom



5.
# InHg4Cl (PBE, optimized geometry)
data_InHg4Cl
_chemical_formula_sum 'In2 Hg8 Cl2'
_cell_length_a 3.885
_cell_length_b 8.088
_cell_length_c 12.497
_cell_angle_alpha 100.62
_cell_angle_beta 90.26
_cell_angle_gamma 103.71
_symmetry_space_group_name_H-M 'P -1'
_symmetry_Int_Tables_number 2
_symmetry_space_group_name_Hall '-P 1'
loop_
_atom_site_label
_atom_site_type_symbol
_atom_site_fract_x
_atom_site_fract_y
_atom_site_fract_z
_atom_site_occupancy
In1 In 0.223 0.437 0.209 1
Hg1 Hg 0.000 0.000 0.000 1
Hg2 Hg 0.168 0.332 0.441 1
Hg3 Hg 0.341 0.682 0.027 1
Hg4 Hg 0.465 0.941 0.761 1
Hg5 Hg 0.500 0.000 0.500 1
Cl1 Cl 0.158 0.324 0.707 1
# * formation energy (no corrections): -0.24 eV/atom
# * energy above the most stable polymorph in this dataset: 0.000 eV per atom



6.
# In4HgCl5 (PBE, optimized geometry)
data_In4HgCl5
_chemical_formula_sum 'In8 Hg2 Cl10'
_cell_length_a 9.037
_cell_length_b 16.511
_cell_length_c 4.391
_cell_angle_alpha 90.00
_cell_angle_beta 90.00
_cell_angle_gamma 90.00
_symmetry_space_group_name_H-M 'P m m n'
_symmetry_Int_Tables_number 59
loop_
_symmetry_equiv_pos_as_xyz
'x,y,z'
'-x,-y,-z'
'-x+1/2,-y+1/2,z'
'x+1/2,y+1/2,-z'
'x+1/2,-y,-z'
'-x+1/2,y,z'
'-x,y+1/2,-z'
'x,-y+1/2,z'
loop_
_atom_site_label
_atom_site_type_symbol
_atom_site_fract_x
_atom_site_fract_y
_atom_site_fract_z
_atom_site_occupancy
In1 In 0.026 0.250 0.018 1
In2 In 0.250 0.542 0.237 1
Hg1 Hg 0.250 0.250 0.536 1
Cl1 Cl 0.026 0.606 0.740 1
Cl2 Cl 0.250 0.750 0.209 1
# * formation energy (no corrections): -0.74 eV/atom



Copy entry 4 word for word.
# InHgCl (PBE, optimized geometry)
data_InHgCl
_chemical_formula_sum 'In2 Hg2 Cl2'
_cell_length_a 3.791
_cell_length_b 3.791
_cell_length_c 13.169
_cell_angle_alpha 90.00
_cell_angle_beta 90.00
_cell_angle_gamma 90.00
_symmetry_space_group_name_H-M 'I 4 m m'
_symmetry_Int_Tables_number 107
_symmetry_space_group_name_Hall 'I 4 -2'
loop_
_atom_site_label
_atom_site_type_symbol
_atom_site_fract_x
_atom_site_fract_y
_atom_site_fract_z
_atom_site_occupancy
In1 In 0.000 0.000 0.000 1
Hg1 Hg 0.000 0.000 0.685 1
Cl1 Cl 0.000 0.000 0.393 1
# * formation energy (no corrections): -0.49 eV/atom
# * energy above the most stable polymorph in this dataset: 0.050 eV per atom



Repeat the sixth record exactly.
# In4HgCl5 (PBE, optimized geometry)
data_In4HgCl5
_chemical_formula_sum 'In8 Hg2 Cl10'
_cell_length_a 9.037
_cell_length_b 16.511
_cell_length_c 4.391
_cell_angle_alpha 90.00
_cell_angle_beta 90.00
_cell_angle_gamma 90.00
_symmetry_space_group_name_H-M 'P m m n'
_symmetry_Int_Tables_number 59
loop_
_symmetry_equiv_pos_as_xyz
'x,y,z'
'-x,-y,-z'
'-x+1/2,-y+1/2,z'
'x+1/2,y+1/2,-z'
'x+1/2,-y,-z'
'-x+1/2,y,z'
'-x,y+1/2,-z'
'x,-y+1/2,z'
loop_
_atom_site_label
_atom_site_type_symbol
_atom_site_fract_x
_atom_site_fract_y
_atom_site_fract_z
_atom_site_occupancy
In1 In 0.026 0.250 0.018 1
In2 In 0.250 0.542 0.237 1
Hg1 Hg 0.250 0.250 0.536 1
Cl1 Cl 0.026 0.606 0.740 1
Cl2 Cl 0.250 0.750 0.209 1
# * formation energy (no corrections): -0.74 eV/atom



What is the formation energy (no corrections) in the sixth record? -0.74 eV/atom